First-principles (PBE-GGA) data for a relaxed structure of Hf2Bi3Mo4C3, as listed in the Open Quantum Materials Database.

a = 10.0579 Å, b = 5.8208 Å, c = 14.0340 Å
α = 90.00°, β = 100.62°, γ = 90.00°
Space group C2/c (No. 15)
Unique sites:
Hf1 0.0590 0.0846 0.4129 [8 per cell]
Bi1 0.0000 0.4344 0.2500 [4 per cell]
Bi2 0.1745 0.0975 0.7442 [8 per cell]
Mo1 0.0977 0.4085 0.5727 [8 per cell]
Mo2 0.2340 0.4244 0.9298 [8 per cell]
C1 0.0870 0.2559 0.0008 [8 per cell]
C2 0.2500 0.2500 0.5000 [4 per cell]

The total DFT energy (no corrections) comes out at -8.634 eV/atom. The calculation puts the spin magnetization at 0.00 μB/f.u. For the calculated volume, the calculation gives 16.824 Å³/atom.